Model w:
DFT (GGA-PBE) results for an optimized crystal structure of KMgV.

```
data_KMgV
_cell_length_a 4.1930
_cell_length_b 5.2121
_cell_length_c 9.6580
_cell_angle_alpha 105.63
_cell_angle_beta 102.14
_cell_angle_gamma 90.07
_symmetry_space_group_name_H-M 'P 1'
_symmetry_Int_Tables_number 1
loop_
_symmetry_equiv_pos_as_xyz
'x,y,z'
loop_
_atom_site_label
_atom_site_type_symbol
_atom_site_fract_x
_atom_site_fract_y
_atom_site_fract_z
_atom_site_occupancy
K1 K 0.0000 0.0000 0.0000 1
K2 K 0.3896 0.3538 0.7074 1
Mg1 Mg 0.6440 0.1658 0.3320 1
Mg2 Mg 0.8201 0.7592 0.5185 1
V1 V 0.2202 0.6465 0.2936 1
V2 V 0.5785 0.6038 0.2081 1
```

Properties
crystal system: triclinic



Model x:
DFT (GGA-PBE) results for an optimized crystal structure of KMgV.

```
data_KMgV
_cell_length_a 3.0568
_cell_length_b 4.9391
_cell_length_c 12.4357
_cell_angle_alpha 90.00
_cell_angle_beta 96.43
_cell_angle_gamma 90.00
_symmetry_space_group_name_H-M 'P 1 m 1'
_symmetry_Int_Tables_number 6
loop_
_symmetry_equiv_pos_as_xyz
'x,y,z'
'x,-y,z'
loop_
_atom_site_label
_atom_site_type_symbol
_atom_site_fract_x
_atom_site_fract_y
_atom_site_fract_z
_atom_site_occupancy
K1 K 0.0000 0.0000 0.0000 1
K2 K 0.1920 0.0000 0.4209 1
Mg1 Mg 0.5878 0.5000 0.2103 1
Mg2 Mg 0.5908 0.0000 0.7103 1
V1 V 0.2580 0.5000 0.7800 1
V2 V 0.9333 0.5000 0.6423 1
```

Properties
crystal system: monoclinic



Model y:
DFT (GGA-PBE) results for an optimized crystal structure of KMgV.

```
data_KMgV
_cell_length_a 5.9928
_cell_length_b 5.9928
_cell_length_c 11.1964
_cell_angle_alpha 90.00
_cell_angle_beta 90.00
_cell_angle_gamma 120.00
_symmetry_space_group_name_H-M 'P 63/m m c'
_symmetry_Int_Tables_number 194
_symmetry_space_group_name_Hall '-P 6c 2c'
loop_
_atom_site_label
_atom_site_type_symbol
_atom_site_fract_x
_atom_site_fract_y
_atom_site_fract_z
_atom_site_occupancy
K1 K 0.3333 0.6667 0.2500 1
Mg1 Mg 0.0000 0.0000 0.2500 1
V1 V 0.0000 0.0000 0.0000 1
```

Properties
crystal system: hexagonal



Stability ranking, top entry: model x; the second entry is 0.012 eV/atom less favorable.



Model w:
DFT (GGA-PBE) results for an optimized crystal structure of KMgV.

```
data_KMgV
_cell_length_a 7.5494
_cell_length_b 7.5494
_cell_length_c 7.5494
_cell_angle_alpha 90.00
_cell_angle_beta 90.00
_cell_angle_gamma 90.00
_symmetry_space_group_name_H-M 'F -4 3 m'
_symmetry_Int_Tables_number 216
_symmetry_space_group_name_Hall 'F -4 2 3'
loop_
_atom_site_label
_atom_site_type_symbol
_atom_site_fract_x
_atom_site_fract_y
_atom_site_fract_z
_atom_site_occupancy
K1 K 0.0000 0.0000 0.0000 1
Mg1 Mg 0.0000 0.0000 0.5000 1
V1 V 0.2500 0.2500 0.7500 1
```

Properties
crystal system: cubic



Model x:
DFT (GGA-PBE) results for an optimized crystal structure of KMgV.

```
data_KMgV
_cell_length_a 4.3895
_cell_length_b 4.4070
_cell_length_c 11.8118
_cell_angle_alpha 81.11
_cell_angle_beta 81.20
_cell_angle_gamma 71.04
_symmetry_space_group_name_H-M 'P 1'
_symmetry_Int_Tables_number 1
loop_
_symmetry_equiv_pos_as_xyz
'x,y,z'
loop_
_atom_site_label
_atom_site_type_symbol
_atom_site_fract_x
_atom_site_fract_y
_atom_site_fract_z
_atom_site_occupancy
K1 K 0.0000 0.0000 0.0000 1
K2 K 0.4152 0.4114 0.3288 1
Mg1 Mg 0.3303 0.3260 0.6409 1
Mg2 Mg 0.6540 0.6540 0.7808 1
V1 V 0.7373 0.7338 0.5429 1
V2 V 0.9761 0.9702 0.5830 1
```

Properties
crystal system: triclinic



Stability ranking, top entry: model x; the second entry is 0.638 eV/atom less favorable.



Model w:
DFT (GGA-PBE) results for an optimized crystal structure of KMg6V.

```
data_KMg6V
_cell_length_a 7.7162
_cell_length_b 7.7162
_cell_length_c 3.4058
_cell_angle_alpha 90.00
_cell_angle_beta 90.00
_cell_angle_gamma 90.00
_symmetry_space_group_name_H-M 'P 4/m m m'
_symmetry_Int_Tables_number 123
_symmetry_space_group_name_Hall '-P 4 2'
loop_
_atom_site_label
_atom_site_type_symbol
_atom_site_fract_x
_atom_site_fract_y
_atom_site_fract_z
_atom_site_occupancy
K1 K 0.0000 0.0000 0.0000 1
Mg1 Mg 0.0000 0.5000 0.0000 1
Mg2 Mg 0.2899 0.2899 0.5000 1
V1 V 0.5000 0.5000 0.0000 1
```

Properties
crystal system: tetragonal



Model x:
DFT (GGA-PBE) results for an optimized crystal structure of KMg6V.

```
data_KMg6V
_cell_length_a 5.2780
_cell_length_b 6.5128
_cell_length_c 11.2962
_cell_angle_alpha 90.00
_cell_angle_beta 90.00
_cell_angle_gamma 90.00
_symmetry_space_group_name_H-M 'A m m 2'
_symmetry_Int_Tables_number 38
loop_
_symmetry_equiv_pos_as_xyz
'x,y,z'
'-x,-y,z'
'-x,y,z'
'x,-y,z'
'x,y+1/2,z+1/2'
'-x,-y+1/2,z+1/2'
'-x,y+1/2,z+1/2'
'x,-y+1/2,z+1/2'
loop_
_atom_site_label
_atom_site_type_symbol
_atom_site_fract_x
_atom_site_fract_y
_atom_site_fract_z
_atom_site_occupancy
K1 K 0.0000 0.0000 0.0000 1
Mg1 Mg 0.0000 0.0000 0.4920 1
Mg2 Mg 0.0000 0.2371 0.2543 1
Mg3 Mg 0.5000 0.0000 0.8256 1
Mg4 Mg 0.5000 0.2384 0.5885 1
V1 V 0.5000 0.0000 0.3342 1
```

Properties
crystal system: orthorhombic



Stability ranking, top entry: model w; the second entry is 0.061 eV/atom less favorable.



Model w:
DFT (GGA-PBE) results for an optimized crystal structure of KMgV3.

```
data_KMgV3
_cell_length_a 5.2568
_cell_length_b 5.2568
_cell_length_c 5.2568
_cell_angle_alpha 90.00
_cell_angle_beta 90.00
_cell_angle_gamma 90.00
_symmetry_space_group_name_H-M 'P m -3 m'
_symmetry_Int_Tables_number 221
_symmetry_space_group_name_Hall '-P 4 2 3'
loop_
_atom_site_label
_atom_site_type_symbol
_atom_site_fract_x
_atom_site_fract_y
_atom_site_fract_z
_atom_site_occupancy
K1 K 0.0000 0.0000 0.0000 1
Mg1 Mg 0.5000 0.5000 0.5000 1
V1 V 0.0000 0.5000 0.5000 1
```

Properties
crystal system: cubic



Model x:
DFT (GGA-PBE) results for an optimized crystal structure of KMgV3.

```
data_KMgV3
_cell_length_a 4.3704
_cell_length_b 4.3704
_cell_length_c 4.3704
_cell_angle_alpha 90.00
_cell_angle_beta 90.00
_cell_angle_gamma 90.00
_symmetry_space_group_name_H-M 'P m -3 m'
_symmetry_Int_Tables_number 221
_symmetry_space_group_name_Hall '-P 4 2 3'
loop_
_atom_site_label
_atom_site_type_symbol
_atom_site_fract_x
_atom_site_fract_y
_atom_site_fract_z
_atom_site_occupancy
K1 K 0.0000 0.0000 0.0000 1
Mg1 Mg 0.5000 0.5000 0.5000 1
V1 V 0.0000 0.0000 0.5000 1
```

Properties
crystal system: cubic



Stability ranking, top entry: model w; the second entry is 0.560 eV/atom less favorable.



Model w:
DFT (GGA-PBE) results for an optimized crystal structure of KMg3V.

```
data_KMg3V
_cell_length_a 5.4892
_cell_length_b 5.4892
_cell_length_c 5.4892
_cell_angle_alpha 90.00
_cell_angle_beta 90.00
_cell_angle_gamma 90.00
_symmetry_space_group_name_H-M 'P m -3 m'
_symmetry_Int_Tables_number 221
_symmetry_space_group_name_Hall '-P 4 2 3'
loop_
_atom_site_label
_atom_site_type_symbol
_atom_site_fract_x
_atom_site_fract_y
_atom_site_fract_z
_atom_site_occupancy
K1 K 0.0000 0.0000 0.0000 1
Mg1 Mg 0.0000 0.5000 0.5000 1
V1 V 0.5000 0.5000 0.5000 1
```

Properties
crystal system: cubic



Model x:
DFT (GGA-PBE) results for an optimized crystal structure of KMg3V.

```
data_KMg3V
_cell_length_a 5.7611
_cell_length_b 5.7611
_cell_length_c 5.7611
_cell_angle_alpha 90.00
_cell_angle_beta 90.00
_cell_angle_gamma 90.00
_symmetry_space_group_name_H-M 'P m -3 m'
_symmetry_Int_Tables_number 221
_symmetry_space_group_name_Hall '-P 4 2 3'
loop_
_atom_site_label
_atom_site_type_symbol
_atom_site_fract_x
_atom_site_fract_y
_atom_site_fract_z
_atom_site_occupancy
K1 K 0.0000 0.0000 0.0000 1
Mg1 Mg 0.0000 0.0000 0.5000 1
V1 V 0.5000 0.5000 0.5000 1
```

Properties
crystal system: cubic



Stability ranking, top entry: model w; the second entry is 0.990 eV/atom less favorable.



Model w:
DFT (GGA-PBE) results for an optimized crystal structure of KMg2W.

```
data_KMg2W
_cell_length_a 2.9009
_cell_length_b 2.9009
_cell_length_c 11.0430
_cell_angle_alpha 90.00
_cell_angle_beta 90.00
_cell_angle_gamma 90.00
_symmetry_space_group_name_H-M 'P 4/m m m'
_symmetry_Int_Tables_number 123
_symmetry_space_group_name_Hall '-P 4 2'
loop_
_atom_site_label
_atom_site_type_symbol
_atom_site_fract_x
_atom_site_fract_y
_atom_site_fract_z
_atom_site_occupancy
K1 K 0.0000 0.0000 0.0000 1
Mg1 Mg 0.5000 0.5000 0.3041 1
W1 W 0.0000 0.0000 0.5000 1
```

Properties
crystal system: tetragonal



Model x:
DFT (GGA-PBE) results for an optimized crystal structure of KMg2W.

```
data_KMg2W
_cell_length_a 4.7989
_cell_length_b 4.7989
_cell_length_c 8.6080
_cell_angle_alpha 90.00
_cell_angle_beta 90.00
_cell_angle_gamma 90.00
_symmetry_space_group_name_H-M 'I -4 m 2'
_symmetry_Int_Tables_number 119
_symmetry_space_group_name_Hall 'I -4 -2'
loop_
_atom_site_label
_atom_site_type_symbol
_atom_site_fract_x
_atom_site_fract_y
_atom_site_fract_z
_atom_site_occupancy
K1 K 0.0000 0.0000 0.0000 1
Mg1 Mg 0.0000 0.0000 0.5000 1
Mg2 Mg 0.0000 0.5000 0.7500 1
W1 W 0.0000 0.5000 0.2500 1
```

Properties
crystal system: tetragonal



Stability ranking, top entry: model w; the second entry is 0.703 eV/atom less favorable.